A plane-wave DFT calculation with GGA+U was carried out for V2CF after structural relaxation.

Cell lengths 3.794, 3.794, 3.794 Å; angles 60.00, 60.00, 60.00 degrees
Positions (direct):
V (0.250, 0.250, 0.250)
C (0.000, 0.000, 0.000)
V (0.750, 0.750, 0.750)
F (0.500, 0.500, 0.500)

Summary:
- distance to the lowest polymorph of the same formula (meV/atom) = 542
- calculated total energy (eV/atom) = -6.185
- total magnetic moment (μB per atom) = 0.00
- symmetry = Fm-3m